# 1
A plane-wave DFT calculation with PBE-GGA was carried out for crystalline KBaSi4 at its relaxed geometry.

a b c (Å): 7.9448 7.9448 5.2674
angles (deg): 90.00 90.00 109.11
Element x y z (fractional)
K 0.1797 0.1797 0.0000
K 0.8203 0.8203 0.0000
Ba 0.2952 0.7048 0.0000
Ba 0.7048 0.2952 0.0000
Si 0.0806 0.3981 0.5000
Si 0.0924 0.9076 0.5000
Si 0.3756 0.3756 0.5000
Si 0.3981 0.0806 0.5000
Si 0.6019 0.9194 0.5000
Si 0.6244 0.6244 0.5000
Si 0.9076 0.0924 0.5000
Si 0.9194 0.6019 0.5000

ρ: 3.05 g/cm³
energy relative to the lowest polymorph listed for this composition: 0 meV/atom
electronic total energy: -4.180 eV/atom
crystal system: orthorhombic
total magnetic moment: 0.0 μB/f.u.
symmetry: Cmmm (65)
E_form (uncorrected): -0.062 eV per atom

# 2
A plane-wave DFT calculation with PBE-GGA was carried out for crystalline K4PuU3S8 at its relaxed geometry.

a b c (Å): 8.7712 8.7712 8.7712
angles (deg): 55.42 55.42 55.42
Element x y z (fractional)
K 0.0000 0.0000 0.0000
K 0.0000 0.5000 0.5000
K 0.5000 0.0000 0.5000
K 0.5000 0.5000 0.0000
Pu 0.5000 0.5000 0.5000
U 0.0000 0.0000 0.5000
U 0.0000 0.5000 0.0000
U 0.5000 0.0000 0.0000
S 0.2285 0.7374 0.7374
S 0.2341 0.2341 0.2341
S 0.2626 0.2626 0.7715
S 0.2626 0.7715 0.2626
S 0.7374 0.2285 0.7374
S 0.7374 0.7374 0.2285
S 0.7659 0.7659 0.7659
S 0.7715 0.2626 0.2626

ρ: 5.34 g/cm³
electronic total energy: -6.771 eV/atom
crystal system: trigonal
total magnetic moment: 2.8 μB/f.u.
symmetry: R-3m (166)
E_form (uncorrected): -1.420 eV per atom